No. 1
The following is a DFT calculation (PBE) of a relaxed structure of LuZrSb.

Cell and atoms, written as extended XYZ:
```
3
Lattice="-3.112 -1.647 0.102 0.289 -0.237 4.977 -2.154 3.934 -2.190" Properties=species:S:1:pos:R:3 pbc="T T T"
Sb -2.138 2.121 0.225
Lu -2.493 0.112 2.653
Zr -0.346 -0.183 0.011
```

Results
The total moment is 0.00 μB/cell. Its space group is P3m1 (156). The uncorrected formation energy comes out at -228.4 meV per atom. The excess energy over the best structure of this formula in the dataset comes out at 509 meV per atom.



No. 2
The following is a DFT calculation (PBE) of a relaxed structure of LuSc3.

Cell and atoms, written as extended XYZ:
```
4
Lattice="-2.008 2.707 0.084 -4.277 -3.095 -2.454 1.438 -1.217 5.935" Properties=species:S:1:pos:R:3 pbc="T T T"
Sc -2.271 -1.731 1.520
Sc -3.143 -0.195 -1.186
Sc -1.161 1.150 2.857
Lu -6.273 -0.380 -2.364
```

Results
The total moment is 0.02 μB/cell. The energy of formation comes out at 0.01 eV/atom. Its space group is Imm2 (44). The excess energy over the best structure of this formula in the dataset comes out at 0 meV per atom.



No. 3
The following is a DFT calculation (PBE) of a relaxed structure of LuSc5.

Cell and atoms, written as extended XYZ:
```
6
Lattice="-0.096 -1.951 -2.971 4.822 1.724 -1.288 0.900 -7.128 4.652" Properties=species:S:1:pos:R:3 pbc="T T T"
Sc 3.434 -1.075 0.595
Sc 2.287 -4.329 2.769
Sc 2.363 -0.114 -2.129
Sc 1.153 -3.249 -0.031
Sc 4.472 -4.106 0.424
Lu 0.000 0.000 0.000
```

Results
The total moment is 0.01 μB/cell. The energy of formation comes out at 0.10 eV/atom. Its space group is Cmmm (65).